# CoPdF

A relaxed CoPdF crystal (PBE with a Hubbard U, the Alexandria database).

CIF file:
```
data_CoPdF
_chemical_formula_sum 'Co2 Pd2 F2'
_space_group_name_H-M_alt 'P 1 21/m 1'
_space_group_IT_number 11
_cell_length_a 2.823
_cell_length_b 4.755
_cell_length_c 6.214
_cell_angle_alpha 90.00
_cell_angle_beta 103.33
_cell_angle_gamma 90.00
loop_
_space_group_symop_operation_xyz
'x,y,z'
'-x,-y,-z'
'-x,y+1/2,-z'
'x,-y+1/2,z'
loop_
_atom_site_label
_atom_site_fract_x
_atom_site_fract_y
_atom_site_fract_z
Co1 0.121 0.250 0.241
Pd1 0.437 0.250 0.880
F1 0.259 0.750 0.522
```

Energy above the most stable polymorph in this dataset ... 131 meV per atom
M_tot ... 5.8 Bohr magnetons per cell
Raw total energy ... -4.741 eV per atom